{"formula": "PuVSbO6", "functional": "PBE with a Hubbard U", "state": "optimized geometry", "lattice_angstrom": [[-3.2351, -3.9007, -1.3929], [4.5304, -1.0855, 2.4327], [-4.4545, 0.6315, 8.5773]], "species": ["Pu", "Pu", "V", "V", "Sb", "Sb", "O", "O", "O", "O", "O", "O", "O", "O", "O", "O", "O", "O"], "fractional_positions": [[0.0000, 0.0000, 0.0000], [0.0000, 0.0000, 0.5000], [0.3333, 0.6667, 0.2500], [0.6667, 0.3333, 0.7500], [0.6667, 0.3333, 0.2500], [0.3333, 0.6667, 0.7500], [0.6496, 0.6464, 0.1367], [0.9968, 0.3504, 0.1367], [0.3504, 0.9968, 0.6367], [0.0032, 0.6496, 0.8633], [0.3536, 0.3504, 0.3633], [0.9968, 0.6464, 0.3633], [0.6464, 0.9968, 0.8633], [0.6496, 0.0032, 0.3633], [0.0032, 0.3536, 0.6367], [0.3536, 0.0032, 0.1367], [0.6464, 0.6496, 0.6367], [0.3504, 0.3536, 0.8633]], "dft_energy_ev_per_atom": -8.326}